{
  "formula": "LaTa2Mo",
  "functional": "GGA-PBE",
  "state": "optimized geometry",
  "ef_ev_per_atom": 0.48,
  "relative_energy_kj_per_mol_atoms": 26.3,
  "lattice_angstrom": [[4.835, -0.023, 0.000], [-0.001, 4.836, 0.000], [-2.417, -2.406, 3.427]],
  "species": ["Mo", "La", "Ta", "Ta"],
  "fractional_positions": [[0.750, 0.250, 0.500], [0.500, 0.500, 0.000], [0.000, 0.000, 0.000], [0.250, 0.750, 0.500]]
}

{
  "formula": "Sr3Li",
  "functional": "GGA-PBE",
  "state": "optimized geometry",
  "ef_ev_per_atom": 0.16,
  "relative_energy_kj_per_mol_atoms": 11.1,
  "lattice_angstrom": [[4.153, 0.000, 0.000], [0.000, 3.990, 0.000], [0.000, 0.000, 11.677]],
  "species": ["Sr", "Sr", "Sr", "Li"],
  "fractional_positions": [[0.500, 0.500, 0.155], [0.000, 0.500, 0.465], [0.500, 0.000, 0.738], [0.000, 0.000, 0.975]]
}

{
  "formula": "SrIrCl",
  "functional": "GGA-PBE",
  "state": "optimized geometry",
  "relative_energy_kj_per_mol_atoms": 26.3,
  "lattice_angstrom": [[-0.551, 3.810, 2.232], [-3.897, -1.173, 1.039], [3.154, -5.433, 5.655]],
  "species": ["Cl", "Ir", "Sr", "Ir", "Cl", "Sr"],
  "fractional_positions": [[0.344, 0.932, 0.794], [0.116, 0.433, 0.342], [0.762, 0.434, 0.636], [0.190, 0.934, 0.489], [0.964, 0.433, 0.036], [0.543, 0.933, 0.195]]
}

{
  "formula": "Cs3TcRh",
  "functional": "GGA-PBE",
  "state": "optimized geometry",
  "ef_ev_per_atom": 1.70,
  "lattice_angstrom": [[5.841, 0.000, 0.000], [0.000, 5.841, 0.000], [0.000, 0.000, 5.841]],
  "species": ["Tc", "Cs", "Cs", "Rh", "Cs"],
  "fractional_positions": [[0.000, 0.000, 0.000], [0.000, 0.000, 0.500], [0.500, 0.000, 0.000], [0.500, 0.500, 0.500], [0.000, 0.500, 0.000]]
}

{
  "formula": "BaLa2Ir",
  "functional": "GGA-PBE",
  "state": "optimized geometry",
  "ef_ev_per_atom": 0.31,
  "relative_energy_kj_per_mol_atoms": 74.3,
  "lattice_angstrom": [[6.165, -0.018, -0.052], [-2.884, 5.603, -0.008], [0.396, 1.175, 3.396]],
  "species": ["La", "Ir", "La", "Ba"],
  "fractional_positions": [[0.000, 0.000, 0.000], [0.500, 0.500, 0.000], [0.500, 0.000, 0.500], [0.000, 0.500, 0.500]]
}

{
  "formula": "Gd3AgO",
  "functional": "GGA-PBE",
  "state": "optimized geometry",
  "energy_ev_per_atom": -11.21,
  "lattice_angstrom": [[-3.907, 2.831, -0.175], [-0.262, -0.064, 4.821], [2.824, 3.911, 0.205]],
  "species": ["Gd", "Gd", "Ag", "O", "Gd"],
  "fractional_positions": [[0.500, 0.000, 0.000], [0.000, 0.500, 0.000], [0.500, 0.500, 0.500], [0.000, 0.000, 0.000], [0.000, 0.000, 0.500]]
}

{
  "formula": "Er2Co3Si5",
  "functional": "GGA-PBE",
  "state": "optimized geometry",
  "energy_ev_per_atom": -6.53,
  "lattice_angstrom": [[-1.444, 2.076, 4.849], [-3.024, -5.573, 4.769], [6.288, 0.969, 4.741]],
  "species": ["Si", "Si", "Co", "Si", "Co", "Si", "Si", "Co", "Si", "Er", "Si", "Si", "Si", "Co", "Si", "Co", "Er", "Co", "Er", "Er"],
  "fractional_positions": [[0.250, 0.488, 0.512], [0.750, 0.771, 0.229], [0.750, 0.003, 0.997], [0.250, 0.787, 0.213], [0.429, 0.460, 0.738], [0.338, 0.065, 0.263], [0.750, 0.512, 0.488], [0.571, 0.540, 0.262], [0.250, 0.229, 0.771], [0.770, 0.597, 0.870], [0.750, 0.213, 0.787], [0.162, 0.737, 0.935], [0.838, 0.263, 0.065], [0.071, 0.262, 0.540], [0.662, 0.935, 0.737], [0.250, 0.997, 0.003], [0.230, 0.403, 0.130], [0.929, 0.738, 0.460], [0.270, 0.870, 0.597], [0.730, 0.130, 0.403]]
}

{
  "formula": "Ce4Sn3Ge",
  "functional": "GGA-PBE",
  "state": "optimized geometry",
  "ef_ev_per_atom": -0.59,
  "lattice_angstrom": [[4.625, 0.000, 0.000], [0.000, 4.311, 0.000], [0.000, 0.000, 11.551]],
  "species": ["Sn", "Ce", "Ce", "Sn", "Ce", "Sn", "Ge", "Ce"],
  "fractional_positions": [[0.500, 0.000, 0.918], [0.000, 0.000, 0.132], [0.500, 0.500, 0.355], [0.000, 0.000, 0.409], [0.500, 0.000, 0.637], [0.000, 0.500, 0.590], [0.500, 0.500, 0.090], [0.000, 0.500, 0.870]]
}

{
  "formula": "Tb2DyErN4",
  "functional": "GGA-PBE",
  "state": "optimized geometry",
  "energy_ev_per_atom": -8.17,
  "lattice_angstrom": [[3.476, 0.000, 0.000], [0.000, 6.016, 0.107], [0.000, -2.103, 5.638]],
  "species": ["Er", "Tb", "N", "Dy", "N", "N", "N", "Tb"],
  "fractional_positions": [[0.000, 0.000, 0.000], [0.500, 0.000, 0.500], [0.000, 0.250, 0.752], [0.500, 0.500, 0.000], [0.500, 0.752, 0.753], [0.500, 0.248, 0.247], [0.000, 0.750, 0.248], [0.000, 0.500, 0.500]]
}

{
  "formula": "TiMnP",
  "functional": "GGA-PBE",
  "state": "optimized geometry",
  "ef_ev_per_atom": -0.47,
  "lattice_angstrom": [[3.165, 0.000, 0.000], [0.000, 3.165, 0.000], [-1.582, -1.582, 3.900]],
  "species": ["Ti", "P", "Mn"],
  "fractional_positions": [[0.620, 0.620, 0.240], [0.290, 0.290, 0.581], [0.940, 0.940, 0.880]]
}

{
  "formula": "Sm3PaTl3Te8",
  "functional": "GGA-PBE",
  "state": "optimized geometry",
  "energy_ev_per_atom": -4.74,
  "lattice_angstrom": [[-7.404, 4.444, 2.450], [5.633, -3.126, 6.249], [2.902, 7.706, -5.207]],
  "species": ["Te", "Tl", "Pa", "Te", "Tl", "Tl", "Te", "Te", "Te", "Te", "Sm", "Te", "Sm", "Sm", "Te"],
  "fractional_positions": [[0.236, 0.979, 0.715], [0.000, 0.000, 0.000], [0.000, 0.000, 0.500], [0.236, 0.472, 0.715], [0.500, 0.500, 0.000], [0.000, 0.500, 0.000], [0.764, 0.528, 0.285], [0.764, 0.021, 0.285], [0.743, 0.979, 0.715], [0.739, 0.479, 0.718], [0.000, 0.500, 0.500], [0.261, 0.521, 0.282], [0.500, 0.000, 0.500], [0.500, 0.500, 0.500], [0.257, 0.021, 0.285]]
}

{
  "formula": "SrVCSe2",
  "functional": "GGA-PBE",
  "state": "optimized geometry",
  "energy_ev_per_atom": -3.67,
  "lattice_angstrom": [[5.667, 0.000, 0.000], [0.000, 4.609, 0.000], [0.000, 0.000, 5.667]],
  "species": ["Sr", "V", "Se", "Se", "C"],
  "fractional_positions": [[0.000, 0.000, 0.000], [0.500, 0.500, 0.500], [0.000, 0.000, 0.500], [0.500, 0.000, 0.000], [0.000, 0.500, 0.000]]
}

{
  "formula": "La3PrHg6",
  "functional": "GGA-PBE",
  "state": "optimized geometry",
  "ef_ev_per_atom": -0.46,
  "lattice_angstrom": [[-2.679, -1.863, 4.212], [-4.486, -6.458, -5.711], [9.618, -5.032, 3.891]],
  "species": ["Pr", "Hg", "Hg", "La", "Hg", "La", "Hg", "La", "Hg", "Pr", "Hg", "La", "Hg", "La", "Hg", "Hg", "Hg", "Hg", "La", "Hg"],
  "fractional_positions": [[0.750, 0.060, 0.389], [0.750, 0.760, 0.500], [0.250, 0.137, 0.194], [0.250, 0.507, 0.382], [0.750, 0.534, 0.916], [0.750, 0.493, 0.618], [0.250, 0.240, 0.500], [0.750, 0.224, 0.012], [0.750, 0.863, 0.806], [0.250, 0.940, 0.611], [0.250, 0.844, 0.308], [0.250, 0.354, 0.788], [0.750, 0.337, 0.301], [0.750, 0.646, 0.212], [0.250, 0.064, 0.895], [0.250, 0.466, 0.084], [0.750, 0.936, 0.105], [0.750, 0.156, 0.692], [0.250, 0.776, 0.988], [0.250, 0.663, 0.699]]
}

{
  "formula": "Ca7Ge2N",
  "functional": "GGA-PBE",
  "state": "optimized geometry",
  "energy_ev_per_atom": -3.11,
  "lattice_angstrom": [[7.544, 0.000, 0.000], [3.772, 6.533, 0.000], [3.772, 2.178, 6.160]],
  "species": ["Ge", "Ca", "N", "Ca", "Ca", "Ca", "Ge", "Ca", "Ca", "Ca"],
  "fractional_positions": [[0.250, 0.250, 0.250], [0.500, 0.500, 0.500], [0.000, 0.000, 0.000], [0.779, 0.221, 0.221], [0.779, 0.221, 0.779], [0.221, 0.779, 0.779], [0.750, 0.750, 0.750], [0.221, 0.779, 0.221], [0.779, 0.779, 0.221], [0.221, 0.221, 0.779]]
}

{
  "formula": "SrTa2Hg",
  "functional": "GGA-PBE",
  "state": "optimized geometry",
  "ef_ev_per_atom": 0.75,
  "lattice_angstrom": [[5.006, -0.030, 0.000], [0.022, 5.006, 0.000], [-2.514, -2.488, 3.543]],
  "species": ["Ta", "Sr", "Ta", "Hg"],
  "fractional_positions": [[0.250, 0.750, 0.500], [0.750, 0.250, 0.500], [0.000, 0.000, 0.000], [0.500, 0.500, 0.000]]
}

{
  "formula": "PrSmCo",
  "functional": "GGA-PBE",
  "state": "optimized geometry",
  "ef_ev_per_atom": 0.00,
  "relative_energy_kj_per_mol_atoms": 6.6,
  "lattice_angstrom": [[4.003, 0.000, 0.000], [-2.001, 3.466, 0.000], [0.000, 0.000, 6.344]],
  "species": ["Pr", "Co", "Sm"],
  "fractional_positions": [[0.333, 0.667, 0.566], [0.667, 0.333, 0.330], [0.000, 0.000, 0.103]]
}